No. 1
Sr2Cd15Au2 after structural relaxation. Source: the Alexandria database, functional PBE-GGA.

ΔH_f (0 K)   -184 meV/atom
Calculated volume   454.0 Å³ per cell
Total energy   -1.428 eV/atom
Symmetry   R-3m (166)

Unit cell a=7.751 b=7.751 c=7.751 alpha=82.25 beta=82.25 gamma=82.25
Fractional positions:
Sr 0.164 0.164 0.164
Sr 0.836 0.836 0.836
Cd 0.000 0.500 0.500
Cd 0.147 0.147 0.656
Cd 0.147 0.656 0.147
Cd 0.208 0.500 0.792
Cd 0.208 0.792 0.500
Cd 0.344 0.853 0.853
Cd 0.500 0.000 0.500
Cd 0.500 0.208 0.792
Cd 0.500 0.500 0.000
Cd 0.500 0.792 0.208
Cd 0.656 0.147 0.147
Cd 0.792 0.208 0.500
Cd 0.792 0.500 0.208
Cd 0.853 0.344 0.853
Cd 0.853 0.853 0.344
Au 0.377 0.377 0.377
Au 0.623 0.623 0.623

No. 2
SrCdAu after structural relaxation. Source: the Alexandria database, functional PBE-GGA.

ΔH_f (0 K)   -466 meV/atom
Calculated volume   79.7 Å³ per cell
Total energy   -2.425 eV/atom
Symmetry   I4mm (107)

Unit cell a=6.006 b=6.006 c=6.006 alpha=142.52 beta=142.52 gamma=54.05
Fractional positions:
Sr 0.000 0.000 0.000
Cd 0.302 0.302 0.000
Au 0.678 0.678 0.000

No. 3
Sr2Cd5Au4 after structural relaxation. Source: the Alexandria database, functional PBE-GGA.

ΔH_f (0 K)   -365 meV/atom
Calculated volume   285.2 Å³ per cell
Total energy   -2.279 eV/atom
Symmetry   C2/m (12)
Offset from the most stable computed form   4.1 kJ/mol of atoms

Unit cell a=7.438 b=7.438 c=8.776 alpha=122.72 beta=122.72 gamma=46.62
Fractional positions:
Sr 0.215 0.215 0.262
Sr 0.785 0.785 0.738
Cd 0.214 0.712 0.271
Cd 0.288 0.786 0.729
Cd 0.500 0.500 0.000
Cd 0.712 0.214 0.271
Cd 0.786 0.288 0.729
Au 0.157 0.157 0.564
Au 0.275 0.275 0.949
Au 0.725 0.725 0.051
Au 0.843 0.843 0.436

- Which value of total energy does entry 2 give?
  -2.425 eV/atom